{
  "formula": "YLuCr2O8",
  "functional": "PBE with a Hubbard U",
  "state": "relaxed",
  "e_tot_ev_per_cell": -93.49,
  "mass_density_g_cm3": 5.2,
  "cell": [[-3.567, 3.567, 3.133], [3.567, -3.567, 3.133], [3.567, 3.567, -3.133]],
  "species": ["Y", "Lu", "Cr", "Cr", "O", "O", "O", "O", "O", "O", "O", "O"],
  "fractional_positions": [[0.000, 0.000, 0.000], [0.250, 0.750, 0.500], [0.500, 0.500, 0.000], [0.750, 0.250, 0.500], [0.324, 0.139, 0.814], [0.324, 0.510, 0.186], [0.387, 0.070, 0.317], [0.490, 0.676, 0.814], [0.753, 0.070, 0.683], [0.861, 0.676, 0.186], [0.930, 0.247, 0.317], [0.930, 0.613, 0.683]]
}